# 1
Below is a relaxed TiHRh3 crystal, with properties calculated at the PBE level.

Structure (extended XYZ):
```
10
Lattice="3.649 2.959 2.413 -4.636 2.122 -1.375 -2.012 -1.350 4.698" Properties=species:S:1:pos:R:3 pbc="T T T"
Rh -0.567 2.912 5.055
Rh -0.095 0.481 4.558
Rh 0.000 0.000 0.000
Rh -1.006 -0.675 2.349
Rh -2.904 3.250 1.177
Rh -2.432 0.818 0.681
Ti -2.646 1.463 3.748
Ti -0.353 2.268 1.987
H -3.988 1.901 0.325
H 0.989 1.830 5.410
```

Calculated values
The value obtained for the energy above the most stable polymorph in this dataset is 384 meV/atom.

---

# 2
Below is a relaxed TiHRh3 crystal, with properties calculated at the PBE level.

Structure (extended XYZ):
```
10
Lattice="-5.247 1.618 -0.936 -3.736 0.123 4.130 1.141 4.222 0.906" Properties=species:S:1:pos:R:3 pbc="T T T"
Rh -0.486 2.591 1.130
Rh -4.994 3.478 2.673
Rh -6.658 1.873 1.238
Rh -4.798 1.806 -0.794
Rh -4.058 1.075 1.685
Rh -3.134 3.411 0.641
H -3.571 4.005 3.926
H -4.139 1.893 3.472
Ti -2.315 1.031 -0.306
Ti -2.229 2.635 3.121
```

Calculated values
The value obtained for the energy above the most stable polymorph in this dataset is 49 meV/atom.

---

# 3
Below is a relaxed Ti2HRh crystal, with properties calculated at the PBE level.

Structure (extended XYZ):
```
8
Lattice="5.746 0.000 0.000 0.000 5.746 0.000 2.873 2.873 3.125" Properties=species:S:1:pos:R:3 pbc="T T T"
Rh 5.746 2.873 1.562
Rh 0.000 0.000 0.000
Ti 1.904 4.310 0.781
Ti 3.842 1.437 0.781
Ti 4.310 4.777 2.344
Ti 7.183 6.715 2.344
H 2.873 2.873 0.000
H 2.873 5.746 1.562
```

Calculated values
The value obtained for the total energy is -0.514 Ry per atom.

---

# 4
Below is a relaxed Ti2HRh crystal, with properties calculated at the PBE level.

Structure (extended XYZ):
```
16
Lattice="-2.916 2.591 0.317 -3.766 -4.028 -1.720 0.107 -0.962 8.838" Properties=species:S:1:pos:R:3 pbc="T T T"
Rh -2.731 0.728 5.165
Rh -3.844 -3.127 2.271
Rh -3.366 -0.298 7.708
Rh -3.209 -2.101 -0.273
Ti -2.522 -2.104 6.069
Ti -5.233 -2.314 7.006
Ti -1.946 -1.115 3.288
Ti -4.629 -1.284 4.147
Ti -1.342 -0.085 0.429
Ti -5.917 -2.341 0.949
Ti -4.053 -0.295 1.366
Ti -0.659 -0.058 6.487
H -2.694 1.295 0.873
H -3.066 -2.496 4.274
H -3.881 -3.693 6.562
H -3.509 0.097 3.162
```

Calculated values
The value obtained for the total energy is -0.522 Ry per atom.

---

# 5
Below is a relaxed Ti5H12Rh2 crystal, with properties calculated at the PBE level.

Structure (extended XYZ):
```
19
Lattice="5.357 0.000 0.000 -2.678 4.790 0.061 0.000 -1.617 5.793" Properties=species:S:1:pos:R:3 pbc="T T T"
H -1.261 2.621 2.443
H 3.678 1.705 0.572
H 1.679 1.705 0.572
H 0.000 4.369 1.277
H 0.000 0.289 1.203
H 3.940 0.552 3.410
H 2.678 2.884 4.650
H 0.999 1.468 5.282
H -0.999 1.468 5.282
H 2.678 -1.197 4.577
H 1.417 0.552 3.410
H 1.261 2.621 2.443
Rh 4.040 0.000 0.000
Rh 1.317 0.000 0.000
Ti 2.678 0.784 4.896
Ti 0.000 -0.809 2.896
Ti 0.000 2.388 0.957
Ti 0.000 1.846 3.718
Ti 2.678 1.326 2.136
```

Calculated values
The value obtained for the total energy is -0.386 Ry per atom.

---

# 6
Below is a relaxed Ti2HRh crystal, with properties calculated at the PBE level.

Structure (extended XYZ):
```
4
Lattice="-0.270 -1.217 -2.551 2.008 -1.886 0.687 -4.293 -3.753 2.245" Properties=species:S:1:pos:R:3 pbc="T T T"
Ti -3.387 -2.961 1.771
Ti -0.906 -0.792 0.474
H 0.869 -1.551 -0.932
Rh -1.278 -3.428 0.191
```

Calculated values
The value obtained for the total energy is -0.503 Ry per atom.

---

# 7
Below is a relaxed TiHRh3 crystal, with properties calculated at the PBE level.

Structure (extended XYZ):
```
10
Lattice="5.488 0.000 0.000 2.744 4.807 0.000 -2.744 -1.668 4.508" Properties=species:S:1:pos:R:3 pbc="T T T"
Ti 4.312 0.073 0.186
Ti 1.568 1.453 2.571
Rh 2.934 2.370 0.235
Rh 2.946 -0.844 2.522
Rh 4.312 1.532 2.516
Rh 5.690 2.370 0.235
Rh 0.190 -0.844 2.522
Rh 1.568 -0.006 0.241
H 4.312 3.168 1.376
H 1.568 3.166 1.379
```

Calculated values
The value obtained for the energy above the most stable polymorph in this dataset is 2 meV/atom.

---

# 8
Below is a relaxed TiHRh3 crystal, with properties calculated at the PBE level.

Structure (extended XYZ):
```
10
Lattice="-1.146 2.426 -4.371 -2.578 -4.129 -1.616 -6.080 0.957 -0.884" Properties=species:S:1:pos:R:3 pbc="T T T"
Rh -2.975 -0.374 -2.437
Rh -6.830 -0.372 -4.434
Rh -4.497 -1.854 -4.368
Rh -6.958 -2.597 -2.626
Rh -3.922 -3.071 -2.176
Rh -5.664 -0.526 -1.816
H -5.260 -2.012 -2.746
H 0.000 0.000 0.000
Ti -5.968 1.876 -3.412
Ti -3.121 0.655 -4.836
```

Calculated values
The value obtained for the energy above the most stable polymorph in this dataset is 486 meV/atom.

---

# 9
Below is a relaxed TiHRh crystal, with properties calculated at the PBE level.

Structure (extended XYZ):
```
6
Lattice="2.864 0.454 -0.127 2.156 4.708 -0.979 1.490 1.256 4.971" Properties=species:S:1:pos:R:3 pbc="T T T"
Rh 2.758 2.790 2.654
Rh 2.385 4.566 0.493
H 4.200 3.255 3.682
H 3.806 4.557 -0.662
Ti 3.843 5.265 2.747
Ti 1.299 2.091 0.400
```

Calculated values
The value obtained for the energy above the most stable polymorph in this dataset is 0 meV/atom.

---

# 10
Below is a relaxed TiV2HRh crystal, with properties calculated at the PBE level.

Structure (extended XYZ):
```
5
Lattice="-1.290 -2.685 2.134 2.841 -2.114 -0.942 2.289 1.576 3.366" Properties=species:S:1:pos:R:3 pbc="T T T"
V 1.420 -1.057 -0.471
V -0.645 -1.342 1.067
Ti 1.144 0.788 1.683
Rh 1.920 -1.611 2.279
H 0.000 0.000 0.000
```

Calculated values
The value obtained for the total energy is -0.560 Ry per atom.

---

# 11
Below is a relaxed Ti2VHRh crystal, with properties calculated at the PBE level.

Structure (extended XYZ):
```
5
Lattice="-2.760 3.156 -0.959 -3.037 -1.943 2.345 1.001 1.697 2.703" Properties=species:S:1:pos:R:3 pbc="T T T"
Ti -1.380 1.578 -0.480
Ti -1.518 -0.972 1.173
V 0.501 0.849 1.352
Rh -2.398 1.455 2.045
H 0.000 0.000 0.000
```

Calculated values
The value obtained for the energy above the most stable polymorph in this dataset is 0 meV/atom.

---

# 12
Below is a relaxed TiVHRh2 crystal, with properties calculated at the PBE level.

Structure (extended XYZ):
```
5
Lattice="3.934 0.000 0.000 0.000 3.934 0.000 0.000 0.000 3.854" Properties=species:S:1:pos:R:3 pbc="T T T"
Rh 0.000 1.967 0.000
Rh 1.967 0.000 0.000
H 0.000 0.000 0.000
Ti 1.967 1.967 1.927
V 0.000 0.000 1.927
```

Calculated values
The value obtained for the energy above the most stable polymorph in this dataset is 0 meV/atom.

---

# 13
Below is a relaxed TiVHRh2 crystal, with properties calculated at the PBE level.

Structure (extended XYZ):
```
5
Lattice="3.918 0.000 0.000 0.000 3.918 0.000 0.000 0.000 3.886" Properties=species:S:1:pos:R:3 pbc="T T T"
H 0.000 0.000 0.000
Ti 0.000 0.000 1.943
V 1.959 1.959 1.943
Rh 1.959 0.000 0.000
Rh 0.000 1.959 0.000
```

Calculated values
The value obtained for the energy above the most stable polymorph in this dataset is 14 meV/atom.

---

# 14
Below is a relaxed Ti2VHRh crystal, with properties calculated at the PBE level.

Structure (extended XYZ):
```
5
Lattice="4.268 0.000 0.000 0.000 4.268 0.000 0.000 0.000 3.513" Properties=species:S:1:pos:R:3 pbc="T T T"
V 2.134 2.134 1.756
Ti 2.134 0.000 0.000
Ti 0.000 2.134 0.000
Rh 0.000 0.000 1.756
H 0.000 0.000 0.000
```

Calculated values
The value obtained for the energy above the most stable polymorph in this dataset is 114 meV/atom.

---

# 15
Below is a relaxed Ti2ZnHRh crystal, with properties calculated at the PBE level.

Structure (extended XYZ):
```
5
Lattice="-2.713 -2.516 1.318 2.764 -1.918 2.027 -0.669 2.380 3.165" Properties=species:S:1:pos:R:3 pbc="T T T"
Rh -0.309 -1.027 3.255
Zn -0.334 1.190 1.583
Ti 1.382 -0.959 1.013
Ti -1.356 -1.258 0.659
H 0.000 0.000 0.000
```

Calculated values
The value obtained for the energy above the most stable polymorph in this dataset is 35 meV/atom.

---

# 16
Below is a relaxed TiZn2HRh crystal, with properties calculated at the PBE level.

Structure (extended XYZ):
```
5
Lattice="3.904 0.000 0.000 0.000 3.904 0.000 0.000 0.000 3.990" Properties=species:S:1:pos:R:3 pbc="T T T"
Ti 0.000 0.000 1.995
Rh 1.952 1.952 1.995
Zn 0.000 1.952 0.000
Zn 1.952 0.000 0.000
H 0.000 0.000 0.000
```

Calculated values
The value obtained for the total energy is -0.326 Ry per atom.

---

# 17
Below is a relaxed TiZnHRh2 crystal, with properties calculated at the PBE level.

Structure (extended XYZ):
```
5
Lattice="-0.621 -3.951 0.264 2.825 -0.629 -2.772 2.586 -0.227 2.686" Properties=species:S:1:pos:R:3 pbc="T T T"
Rh -0.310 -1.975 0.132
Rh 1.412 -0.315 -1.386
Zn 2.395 -2.403 0.089
Ti 1.293 -0.113 1.343
H 0.000 0.000 0.000
```

Calculated values
The value obtained for the energy above the most stable polymorph in this dataset is 0 meV/atom.

---

# 18
Below is a relaxed TiZnHRh2 crystal, with properties calculated at the PBE level.

Structure (extended XYZ):
```
5
Lattice="4.050 0.000 0.000 0.000 4.050 0.000 0.000 0.000 3.659" Properties=species:S:1:pos:R:3 pbc="T T T"
H 0.000 0.000 0.000
Ti 2.025 2.025 1.829
Rh 0.000 2.025 0.000
Rh 2.025 0.000 0.000
Zn 0.000 0.000 1.829
```

Calculated values
The value obtained for the energy above the most stable polymorph in this dataset is 108 meV/atom.

---

# 19
Below is a relaxed Ti2ZnHRh crystal, with properties calculated at the PBE level.

Structure (extended XYZ):
```
5
Lattice="-1.772 3.425 -1.089 -0.146 -1.282 -3.794 -3.496 -1.595 0.673" Properties=species:S:1:pos:R:3 pbc="T T T"
Rh -1.748 -0.797 0.337
H 0.000 0.000 0.000
Zn -2.707 0.274 -2.105
Ti -0.886 1.712 -0.545
Ti -0.073 -0.641 -1.897
```

Calculated values
The value obtained for the energy above the most stable polymorph in this dataset is 0 meV/atom.

---

# 20
Below is a relaxed TlH2Rh crystal, with properties calculated at the PBE level.

Structure (extended XYZ):
```
4
Lattice="-2.952 0.335 0.964 -0.803 -0.848 2.897 -0.049 5.056 3.151" Properties=species:S:1:pos:R:3 pbc="T T T"
Tl -1.902 2.272 3.506
H -1.151 0.267 1.443
H -2.653 4.276 5.569
Rh 0.000 0.000 0.000
```

Calculated values
The value obtained for the energy above the most stable polymorph in this dataset is 94 meV/atom.

---

# 21
Below is a relaxed TlHRh2 crystal, with properties calculated at the PBE level.

Structure (extended XYZ):
```
4
Lattice="4.350 -0.467 0.156 1.931 -1.294 3.710 1.764 -3.998 0.270" Properties=species:S:1:pos:R:3 pbc="T T T"
Rh 6.034 -4.319 3.102
Rh 2.011 -1.440 1.034
Tl 4.023 -2.880 2.068
H 0.000 0.000 0.000
```

Calculated values
The value obtained for the energy above the most stable polymorph in this dataset is 527 meV/atom.

---

# 22
Below is a relaxed TlH2Rh crystal, with properties calculated at the PBE level.

Structure (extended XYZ):
```
4
Lattice="0.000 2.825 2.825 2.825 0.000 2.825 2.825 2.825 0.000" Properties=species:S:1:pos:R:3 pbc="T T T"
Tl 2.825 2.825 2.825
H 1.413 1.413 1.413
H 4.238 4.238 4.238
Rh 0.000 0.000 0.000
```

Calculated values
The value obtained for the energy above the most stable polymorph in this dataset is 859 meV/atom.

---

# 23
Below is a relaxed TlHRh2 crystal, with properties calculated at the PBE level.

Structure (extended XYZ):
```
8
Lattice="6.077 0.000 0.000 0.000 6.077 0.000 3.038 3.038 3.006" Properties=species:S:1:pos:R:3 pbc="T T T"
Rh 2.256 4.558 0.752
Rh 7.596 6.859 2.255
Rh 3.821 1.519 0.752
Rh 4.558 5.295 2.255
H 3.038 3.038 0.000
H 3.038 6.077 1.503
Tl 0.000 0.000 0.000
Tl 6.077 3.038 1.503
```

Calculated values
The value obtained for the energy above the most stable polymorph in this dataset is 0 meV/atom.

---

# 24
Below is a relaxed TlHRh crystal, with properties calculated at the PBE level.

Structure (extended XYZ):
```
12
Lattice="-0.919 5.103 -0.519 -6.074 1.360 1.790 -0.852 2.710 5.819" Properties=species:S:1:pos:R:3 pbc="T T T"
Rh -4.591 5.607 2.664
Rh -3.253 3.565 4.426
Rh -5.864 2.890 2.412
Rh -1.980 6.282 4.679
Tl -6.266 6.728 4.458
Tl -1.578 2.444 2.632
Tl -5.041 4.479 6.437
Tl -2.803 4.693 0.653
H -4.609 3.874 3.268
H -5.847 4.624 1.809
H -1.998 4.548 5.282
H -3.235 5.299 3.823
```

Calculated values
The value obtained for the energy above the most stable polymorph in this dataset is 52 meV/atom.

---

# 25
Below is a relaxed TlH2Rh crystal, with properties calculated at the PBE level.

Structure (extended XYZ):
```
4
Lattice="3.073 0.001 0.000 1.535 2.663 0.000 0.000 0.002 6.002" Properties=species:S:1:pos:R:3 pbc="T T T"
H 2.232 2.060 3.087
H 0.696 1.172 1.952
Tl 2.234 0.286 5.520
Rh 2.235 0.286 2.519
```

Calculated values
The value obtained for the energy above the most stable polymorph in this dataset is 88 meV/atom.

---

# 26
Below is a relaxed TlHRh crystal, with properties calculated at the PBE level.

Structure (extended XYZ):
```
3
Lattice="-0.750 2.777 1.545 -1.868 -1.055 -2.462 -2.487 -2.260 2.855" Properties=species:S:1:pos:R:3 pbc="T T T"
H -2.738 -0.907 0.300
Tl 0.000 0.000 0.000
Rh -2.367 0.369 1.637
```

Calculated values
The value obtained for the energy above the most stable polymorph in this dataset is 0 meV/atom.